# 1
Entry from Alexandria: a relaxed structure of Ti8FeRh2 (PBE).

## Properties
The value obtained for the total magnetization is 0.007 μB/f.u. The theoretical density comes out at 6.09 g cm⁻³. Its energy relative to the elements is -0.303 eV per atom.

abc: 4.467 5.880 7.397
angles: 107.49 107.58 90.00
Sites, in units of the cell vectors:
Ti  0.409  0.568  0.817
Ti  0.659  0.940  0.317
Ti  0.814  0.728  0.627
Ti  0.982  0.244  0.964
Ti  0.186  0.272  0.373
Ti  0.341  0.060  0.683
Ti  0.591  0.432  0.183
Ti  0.018  0.756  0.036
Fe  0.500  0.000  0.000
Rh  0.811  0.307  0.622
Rh  0.189  0.693  0.378



# 2
Entry from Alexandria: a relaxed structure of Ti2FeRh9 (PBE).

## Properties
The value obtained for the total magnetization is 3.108 μB/f.u. The theoretical density comes out at 10.56 g cm⁻³. Its energy relative to the elements is -0.441 eV per atom.

abc: 3.836 3.836 11.516
angles: 90.00 90.00 90.00
Last column: magnetic moment on the atom in μB.
Sites, in units of the cell vectors:
Ti  0.000  0.000  0.333  -0.08
Ti  0.000  0.000  0.667  -0.08
Fe  0.000  0.000  0.000  2.94
Rh  0.500  0.500  0.000  0.12
Rh  0.500  0.500  0.332  -0.01
Rh  0.500  0.500  0.668  -0.01
Rh  0.500  0.000  0.164  0.11
Rh  0.500  0.000  0.500  -0.02
Rh  0.500  0.000  0.836  0.11
Rh  0.000  0.500  0.164  0.11
Rh  0.000  0.500  0.500  -0.02
Rh  0.000  0.500  0.836  0.11



# 3
Entry from Alexandria: a relaxed structure of Ti2FeRh5 (PBE).

## Properties
The value obtained for the total magnetization is 3.689 μB/f.u. The theoretical density comes out at 9.74 g cm⁻³. Its energy relative to the elements is -0.569 eV per atom.

abc: 3.966 5.391 10.626
angles: 90.00 90.00 90.00
Last column: magnetic moment on the atom in μB.
Sites, in units of the cell vectors:
Ti  0.500  0.307  0.362  -0.04
Ti  0.500  0.693  0.638  -0.04
Ti  0.500  0.193  0.862  -0.04
Ti  0.500  0.807  0.138  -0.04
Fe  0.000  0.000  0.500  2.92
Fe  0.000  0.500  0.000  2.92
Rh  0.500  0.296  0.112  0.19
Rh  0.500  0.704  0.888  0.19
Rh  0.500  0.796  0.388  0.19
Rh  0.500  0.204  0.612  0.19
Rh  0.000  0.943  0.744  0.13
Rh  0.000  0.057  0.256  0.13
Rh  0.000  0.443  0.756  0.13
Rh  0.000  0.557  0.244  0.13
Rh  0.000  0.500  0.500  0.17
Rh  0.000  0.000  0.000  0.17



# 4
Entry from Alexandria: a relaxed structure of TiFe3Rh (PBE).

## Properties
The value obtained for the total magnetization is 6.488 μB/f.u. The theoretical density comes out at 6.92 g cm⁻³. Its energy relative to the elements is 1.109 eV per atom.

abc: 4.242 4.242 4.242
angles: 90.00 90.00 90.00
Last column: magnetic moment on the atom in μB.
Sites, in units of the cell vectors:
Rh  0.500  0.500  0.500  0.68
Fe  0.000  0.500  0.000  2.24
Fe  0.000  0.000  0.500  2.13
Fe  0.500  0.000  0.000  2.15
Ti  0.000  0.000  0.000  -0.73



# 5
Entry from Alexandria: a relaxed structure of TiFeRh6 (PBE).

## Properties
The value obtained for the total magnetization is 3.447 μB/f.u. The theoretical density comes out at 10.66 g cm⁻³. Its energy relative to the elements is -0.335 eV per atom.

abc: 3.836 5.413 5.413
angles: 90.00 90.00 90.00
Last column: magnetic moment on the atom in μB.
Sites, in units of the cell vectors:
Ti  0.500  0.000  0.000  -0.03
Fe  0.500  0.500  0.500  3.00
Rh  0.000  0.748  0.252  0.11
Rh  0.000  0.252  0.748  0.11
Rh  0.000  0.748  0.748  0.11
Rh  0.000  0.252  0.252  0.11
Rh  0.500  0.500  0.000  0.08
Rh  0.500  0.000  0.500  0.08



# 6
Entry from Alexandria: a relaxed structure of TiFe3Rh (PBE).

## Properties
The value obtained for the total magnetization is 0.001 μB/f.u. The theoretical density comes out at 6.36 g cm⁻³. Its energy relative to the elements is 1.508 eV per atom.

abc: 4.363 4.363 4.363
angles: 90.00 90.00 90.00
Sites, in units of the cell vectors:
Rh  0.000  0.000  0.000
Fe  0.000  0.500  0.000
Fe  0.000  0.000  0.500
Fe  0.500  0.000  0.000
Ti  0.500  0.500  0.500